# 1
This record from Alexandria via LeMat-Bulk describes a geometry-optimized RbSiB structure. The functional is PBE.

abc: 4.5157 5.0200 7.4456
angles: 99.60 97.53 108.46
With the nearest neighbours (Å) after each atom.
Sites, in units of the cell vectors:
Rb: 0.0000 0.0000 0.0000  1 B 3.22, 4 Si 3.25-3.42
Rb: 0.3645 0.3880 0.6421  4 B 3.09-3.20, 2 Si 3.41-3.42
Si: 0.4135 0.6787 0.2107  2 B 2.08-2.11
Si: 0.8248 0.4800 0.3136  2 B 1.96-2.01
B: 0.7033 0.0840 0.3674  1 B 1.57
B: 0.7935 0.8412 0.4429  1 B 1.57

Its raw formation energy is 0.285 eV per atom.

# 2
This record from Alexandria via LeMat-Bulk describes a geometry-optimized ZnIn3Cu8 structure. The functional is PBE.

abc: 8.6287 8.6287 8.6287
angles: 33.82 33.82 33.82
With the nearest neighbours (Å) after each atom.
Sites, in units of the cell vectors:
Zn: 0.0000 0.0000 0.0000  12 Cu 2.82-2.97, 4 In 2.99-3.02
In: 0.1225 0.1225 0.1225  12 Cu 2.87-3.08, 1 Zn 2.99, 3 In 3.14
In: 0.5050 0.5050 0.5050  12 Cu 2.93-2.97, 4 In 3.10-3.14
In: 0.6322 0.6322 0.6322  12 Cu 2.83-2.97, 3 Zn 3.02, 1 In 3.10
Cu: 0.0653 0.5650 0.5650  6 Cu 2.47-2.52
Cu: 0.0666 0.0666 0.5685  6 Cu 2.48-2.52
Cu: 0.0666 0.5685 0.0666  6 Cu 2.48-2.52
Cu: 0.3162 0.3162 0.3162  6 Cu 2.47-2.48
Cu: 0.5650 0.0653 0.5650  6 Cu 2.47-2.52
Cu: 0.5650 0.5650 0.0653  6 Cu 2.47-2.52
Cu: 0.5685 0.0666 0.0666  6 Cu 2.48-2.52
Cu: 0.8161 0.8161 0.8161  6 Cu 2.51-2.52

The value obtained for the formation energy is -9 meV per atom.

# 3
This record from Alexandria via LeMat-Bulk describes a geometry-optimized KHg3N structure. The functional is PBE.

abc: 5.0691 5.0691 5.0691
angles: 90.00 90.00 90.00
With the nearest neighbours (Å) after each atom.
Sites, in units of the cell vectors:
K: 0.0000 0.0000 0.0000  12 Hg 3.58
Hg: 0.0000 0.5000 0.5000  2 N 2.53
Hg: 0.5000 0.0000 0.5000  2 N 2.53
Hg: 0.5000 0.5000 0.0000  2 N 2.53
N: 0.5000 0.5000 0.5000  6 Hg 2.53

Its raw formation energy is 0.613 eV per atom.

# 4
This record from Alexandria via LeMat-Bulk describes a geometry-optimized YSiBr structure. The functional is PBE.

abc: 7.8433 7.8433 7.8433
angles: 154.73 154.73 36.04
With the nearest neighbours (Å) after each atom.
Sites, in units of the cell vectors:
Y: 0.0000 0.0000 0.0000  4 Si 2.98, 4 Br 3.05
Si: 0.6157 0.6157 0.0000  4 Y 2.98
Br: 0.3757 0.3757 0.0000  4 Y 3.05

Its raw formation energy is -0.480 eV per atom.

# 5
This record from Alexandria via LeMat-Bulk describes a geometry-optimized Y3ZrTi structure. The functional is PBE.

abc: 5.3159 5.3159 5.3159
angles: 90.00 90.00 90.00
With the nearest neighbours (Å) after each atom.
Sites, in units of the cell vectors:
Y: 0.0000 0.0000 0.5000  2 Ti 2.66
Y: 0.0000 0.5000 0.0000  2 Ti 2.66
Y: 0.5000 0.0000 0.0000  2 Ti 2.66
Zr: 0.5000 0.5000 0.5000  12 Y 3.76
Ti: 0.0000 0.0000 0.0000  6 Y 2.66

The value obtained for the formation energy is 760 meV per atom.

# 6
This record from Alexandria via LeMat-Bulk describes a geometry-optimized In3Ag4Au2 structure. The functional is PBE.

abc: 5.2096 5.2304 7.6325
angles: 77.14 81.73 60.20
With the nearest neighbours (Å) after each atom.
Sites, in units of the cell vectors:
In: 0.0000 0.0000 0.0000  2 Au 2.98, 8 Ag 2.98-3.04, 2 In 3.13
In: 0.3395 0.5314 0.3329  6 Ag 2.95-3.07, 4 Au 2.96-3.06, 2 In 3.12-3.13
In: 0.6605 0.4686 0.6671  6 Ag 2.95-3.07, 4 Au 2.96-3.06, 2 In 3.12-3.13
Ag: 0.0096 0.2073 0.3354  5 In 2.95-3.07, 3 Ag 2.96-3.10, 4 Au 2.99-3.07
Ag: 0.3286 0.3336 0.9950  2 Au 2.94-3.13, 5 Ag 2.97-3.10, 5 In 2.98-3.04
Ag: 0.6714 0.6664 0.0050  2 Au 2.94-3.13, 5 Ag 2.97-3.10, 5 In 2.98-3.04
Ag: 0.9904 0.7927 0.6646  5 In 2.95-3.07, 3 Ag 2.96-3.10, 4 Au 2.99-3.07
Au: 0.3292 0.1223 0.6686  6 Ag 2.94-3.13, 5 In 2.96-3.06, 1 Au 3.05
Au: 0.6708 0.8777 0.3314  6 Ag 2.94-3.13, 5 In 2.96-3.06, 1 Au 3.05

The value obtained for the formation energy is -72 meV per atom.

# 7
This record from Alexandria via LeMat-Bulk describes a geometry-optimized Nb4Tc3W2 structure. The functional is PBE.

abc: 5.3134 5.3134 8.2956
angles: 121.27 121.27 50.35
With the nearest neighbours (Å) after each atom.
Sites, in units of the cell vectors:
Nb: 0.1670 0.1670 0.1644  4 Tc 2.73-2.79, 3 Nb 2.78, 1 W 2.81
Nb: 0.2807 0.2807 0.6118  2 Tc 2.75-2.78, 4 Nb 2.76-2.78, 2 W 2.77-2.83
Nb: 0.7193 0.7193 0.3882  2 Tc 2.75-2.78, 4 Nb 2.76-2.78, 2 W 2.77-2.83
Nb: 0.8330 0.8330 0.8356  4 Tc 2.73-2.79, 3 Nb 2.78, 1 W 2.81
Tc: 0.3867 0.3867 0.0563  4 Nb 2.73-2.78, 3 W 2.75-2.76, 1 Tc 2.82
Tc: 0.5000 0.5000 0.5000  4 Nb 2.75-2.79, 4 W 2.77
Tc: 0.6133 0.6133 0.9437  4 Nb 2.73-2.78, 3 W 2.75-2.76, 1 Tc 2.82
W: 0.0591 0.0591 0.7244  5 Tc 2.75-2.77, 3 Nb 2.77-2.83
W: 0.9409 0.9409 0.2756  5 Tc 2.75-2.77, 3 Nb 2.77-2.83

The value obtained for the formation energy is -144 meV per atom.

# 8
This record from Alexandria via LeMat-Bulk describes a geometry-optimized Hf3Ga4 structure. The functional is PBE.

abc: 9.9967 9.9967 9.9967
angles: 158.29 158.29 30.89
With the nearest neighbours (Å) after each atom.
Sites, in units of the cell vectors:
Hf: 0.0000 0.0000 0.0000  10 Ga 2.80-2.95
Hf: 0.2896 0.2896 0.0000  6 Ga 2.78-2.94, 4 Hf 3.07
Hf: 0.7104 0.7104 0.0000  6 Ga 2.78-2.94, 4 Hf 3.07
Ga: 0.1452 0.1452 0.0000  6 Hf 2.78-2.94, 4 Ga 3.07
Ga: 0.4342 0.4342 0.0000  1 Ga 2.54, 1 Hf 2.79
Ga: 0.5658 0.5658 0.0000  1 Ga 2.54, 1 Hf 2.79
Ga: 0.8548 0.8548 0.0000  6 Hf 2.78-2.94, 4 Ga 3.07

The value obtained for the formation energy is -115 meV per atom.

# 9
This record from Alexandria via LeMat-Bulk describes a geometry-optimized Ba2NbF structure. The functional is PBE.

abc: 7.2476 7.2476 7.2476
angles: 112.08 112.08 104.38
With the nearest neighbours (Å) after each atom.
Sites, in units of the cell vectors:
Ba: 0.0349 0.6250 0.9099  2 F 2.65
Ba: 0.3750 0.2849 0.4099  2 F 2.65
Ba: 0.7151 0.1250 0.0901  2 F 2.65
Ba: 0.8750 0.9651 0.5901  2 F 2.65
Nb: 0.2500 0.7500 0.5000  4 Ba 3.59
Nb: 0.5000 0.5000 0.0000  4 Ba 3.59
F: 0.0000 0.0000 0.0000  4 Ba 2.65
F: 0.7500 0.2500 0.5000  4 Ba 2.65

Its raw formation energy is -0.470 eV per atom.

# 10
This record from Alexandria via LeMat-Bulk describes a geometry-optimized Ac2Pm5YEr structure. The functional is PBE.

abc: 10.7401 10.7401 10.9232
angles: 90.00 90.00 148.59
With the nearest neighbours (Å) after each atom.
Sites, in units of the cell vectors:
Ac: 0.1129 0.8871 0.5000  1 Er 3.57, 9 Pm 3.57-3.95, 2 Y 3.89
Ac: 0.1166 0.8834 0.0826  8 Pm 3.39-3.67
Ac: 0.8834 0.1166 0.5826  8 Pm 3.39-3.67
Ac: 0.8871 0.1129 0.0000  1 Er 3.57, 9 Pm 3.57-3.95, 2 Y 3.89
Pm: 0.0184 0.9816 0.7873  2 Y 3.34, 3 Ac 3.57-3.70
Pm: 0.2805 0.7195 0.0763  1 Y 3.13, 1 Ac 3.39, 2 Pm 3.50
Pm: 0.2950 0.7050 0.4690  1 Y 3.46, 2 Pm 3.50, 3 Er 3.59-3.84, 3 Ac 3.65-3.78
Pm: 0.3864 0.6136 0.7872  6 Pm 3.63-3.99, 4 Ac 3.67-3.72, 1 Er 3.75
Pm: 0.4835 0.5165 0.5095  2 Y 3.34-3.40, 2 Pm 3.63-3.64, 2 Ac 3.66
Pm: 0.5165 0.4835 0.0095  2 Y 3.34-3.40, 2 Pm 3.63-3.64, 2 Ac 3.66
Pm: 0.6136 0.3864 0.2872  6 Pm 3.63-3.99, 4 Ac 3.67-3.72, 1 Er 3.75
Pm: 0.7050 0.2950 0.9690  1 Y 3.46, 2 Pm 3.50, 3 Er 3.59-3.84, 3 Ac 3.65-3.78
Pm: 0.7195 0.2805 0.5763  1 Y 3.13, 1 Ac 3.39, 2 Pm 3.50
Pm: 0.9816 0.0184 0.2873  2 Y 3.34, 3 Ac 3.57-3.70
Y: 0.4069 0.5931 0.2339  6 Pm 3.13-3.46
Y: 0.5931 0.4069 0.7339  6 Pm 3.13-3.46
Er: 0.2049 0.7951 0.7761  2 Ac 3.57-3.81, 8 Pm 3.59-3.86, 2 Y 3.74
Er: 0.7951 0.2049 0.2761  2 Ac 3.57-3.81, 8 Pm 3.59-3.86, 2 Y 3.74

The value obtained for the formation energy is 141 meV per atom.

# 11
This record from Alexandria via LeMat-Bulk describes a geometry-optimized YSb3Rh structure. The functional is PBE.

abc: 5.6704 5.6704 5.6704
angles: 90.00 90.00 90.00
With the nearest neighbours (Å) after each atom.
Sites, in units of the cell vectors:
Y: 0.0000 0.0000 0.0000  6 Sb 2.84
Sb: 0.0000 0.0000 0.5000  2 Y 2.84
Sb: 0.0000 0.5000 0.0000  2 Y 2.84
Sb: 0.5000 0.0000 0.0000  2 Y 2.84
Rh: 0.5000 0.5000 0.5000  12 Sb 4.01

Its raw formation energy is 0.981 eV per atom.

# 12
This record from Alexandria via LeMat-Bulk describes a geometry-optimized DyGa4Ir structure. The functional is PBE.

abc: 7.2362 7.2362 5.2892
angles: 90.00 90.00 90.00
With the nearest neighbours (Å) after each atom.
Sites, in units of the cell vectors:
Dy: 0.2500 0.7500 0.2500  2 Ir 2.64
Dy: 0.7500 0.2500 0.7500  2 Ir 2.64
Ga: 0.0848 0.2500 0.2243  1 Ga 2.39, 1 Ir 2.43
Ga: 0.2500 0.0848 0.7243  1 Ga 2.39, 1 Ir 2.43
Ga: 0.2500 0.4152 0.7243  1 Ga 2.39, 1 Ir 2.43
Ga: 0.4152 0.2500 0.2243  1 Ga 2.39, 1 Ir 2.43
Ga: 0.5848 0.7500 0.7757  1 Ga 2.39, 1 Ir 2.43
Ga: 0.7500 0.5848 0.2757  1 Ga 2.39, 1 Ir 2.43
Ga: 0.7500 0.9152 0.2757  1 Ga 2.39, 1 Ir 2.43
Ga: 0.9152 0.7500 0.7757  1 Ga 2.39, 1 Ir 2.43
Ir: 0.2500 0.7500 0.7500  4 Ga 2.43, 2 Dy 2.64
Ir: 0.7500 0.2500 0.2500  4 Ga 2.43, 2 Dy 2.64

The value obtained for the formation energy is -195 meV per atom.

# 13
This record from Alexandria via LeMat-Bulk describes a geometry-optimized TmMg2Pd2 structure. The functional is PBE.

abc: 4.7080 4.7080 5.4830
angles: 90.00 90.00 120.00
With the nearest neighbours (Å) after each atom.
Sites, in units of the cell vectors:
Tm: 0.0000 0.0000 0.0000  6 Pd 2.84
Mg: 0.3333 0.6667 0.6402  5 Pd 2.69-2.95
Mg: 0.6667 0.3333 0.3598  5 Pd 2.69-2.95
Pd: 0.3333 0.6667 0.1496  5 Mg 2.69-2.95, 3 Tm 2.84
Pd: 0.6667 0.3333 0.8504  5 Mg 2.69-2.95, 3 Tm 2.84

The value obtained for the formation energy is -642 meV per atom.

# 14
This record from Alexandria via LeMat-Bulk describes a geometry-optimized Li2AgF6 structure. The functional is PBE.

abc: 5.2456 4.7881 10.1580
angles: 90.00 118.91 90.00
With the nearest neighbours (Å) after each atom.
Sites, in units of the cell vectors:
Li: 0.1908 0.0103 0.1990  4 F 1.96-2.10
Li: 0.1908 0.4897 0.6990  4 F 1.96-2.10
Li: 0.8092 0.5103 0.3010  4 F 1.96-2.10
Li: 0.8092 0.9897 0.8010  4 F 1.96-2.10
Ag: 0.5000 0.0000 0.0000  6 F 1.94-2.13
Ag: 0.5000 0.5000 0.5000  6 F 1.94-2.13
F: 0.1526 0.7356 0.3308  2 Li 1.96-1.99, 1 Ag 2.13
F: 0.1526 0.7644 0.8308  2 Li 1.96-1.99, 1 Ag 2.13
F: 0.1874 0.2113 0.0041  1 Ag 1.94
F: 0.1874 0.2887 0.5041  1 Ag 1.94
F: 0.4912 0.7255 0.6651  1 Ag 2.01, 2 Li 2.02-2.10
F: 0.4912 0.7745 0.1651  1 Ag 2.01, 2 Li 2.02-2.10
F: 0.5088 0.2255 0.8349  1 Ag 2.01, 2 Li 2.02-2.10
F: 0.5088 0.2745 0.3349  1 Ag 2.01, 2 Li 2.02-2.10
F: 0.8126 0.7113 0.4959  1 Ag 1.94
F: 0.8126 0.7887 0.9959  1 Ag 1.94
F: 0.8474 0.2356 0.1692  2 Li 1.96-1.99, 1 Ag 2.13
F: 0.8474 0.2644 0.6692  2 Li 1.96-1.99, 1 Ag 2.13

Its raw formation energy is -1.784 eV per atom.

# 15
This record from Alexandria via LeMat-Bulk describes a geometry-optimized AlRh2 structure. The functional is PBE.

abc: 5.7841 5.7841 5.7841
angles: 90.00 90.00 90.00
With the nearest neighbours (Å) after each atom.
Sites, in units of the cell vectors:
Al: 0.0000 0.0000 0.0000  6 Rh 2.39
Al: 0.0000 0.5000 0.5000  6 Rh 2.39
Al: 0.5000 0.0000 0.5000  6 Rh 2.39
Al: 0.5000 0.5000 0.0000  6 Rh 2.39
Rh: 0.1268 0.6268 0.8732  3 Al 2.39, 1 Rh 2.54
Rh: 0.1268 0.8732 0.3732  3 Al 2.39, 1 Rh 2.54
Rh: 0.3732 0.1268 0.8732  3 Al 2.39, 1 Rh 2.54
Rh: 0.3732 0.3732 0.3732  3 Al 2.39, 1 Rh 2.54
Rh: 0.6268 0.6268 0.6268  3 Al 2.39, 1 Rh 2.54
Rh: 0.6268 0.8732 0.1268  3 Al 2.39, 1 Rh 2.54
Rh: 0.8732 0.1268 0.6268  3 Al 2.39, 1 Rh 2.54
Rh: 0.8732 0.3732 0.1268  3 Al 2.39, 1 Rh 2.54

The value obtained for the formation energy is 10 meV per atom.

# 16
This record from Alexandria via LeMat-Bulk describes a geometry-optimized AlGeOs structure. The functional is PBE.

abc: 4.2293 4.2293 3.0110
angles: 90.00 90.00 120.00
With the nearest neighbours (Å) after each atom.
Sites, in units of the cell vectors:
Al: 0.0000 0.0000 0.0000  6 Ge 2.87, 6 Os 2.87, 2 Al 3.01
Ge: 0.6667 0.3333 0.5000  3 Os 2.44
Os: 0.3333 0.6667 0.5000  3 Ge 2.44

The value obtained for the formation energy is 91 meV per atom.

no.,DOS at the Fermi energy (states/eV/f.u.),spin magnetization (μB/f.u.)
1,0.00,0.00
2,3.19,0.00
3,2.89,0.00
4,1.14,0.37
5,5.73,1.95
6,2.08,0.00
7,4.20,0.00
8,6.66,0.00
9,4.04,4.78
10,12.51,0.00
11,7.28,1.08
12,3.41,0.00
13,2.18,0.00
14,0.59,1.05
15,5.35,0.32
16,1.65,0.00